# Al2FeW (GGA-PBE, optimized geometry)
data_Al2FeW
_symmetry_space_group_name_H-M 'P 1 2/m 1'
_symmetry_Int_Tables_number 10
_cell_length_a 2.6854
_cell_length_b 4.1031
_cell_length_c 5.2805
_cell_angle_alpha 90.00
_cell_angle_beta 102.45
_cell_angle_gamma 90.00
loop_
_symmetry_equiv_pos_as_xyz
'x,y,z'
'-x,-y,-z'
'-x,y,-z'
'x,-y,z'
loop_
_atom_site_label
_atom_site_type_symbol
_atom_site_fract_x
_atom_site_fract_y
_atom_site_fract_z
_atom_site_occupancy
Al1 Al 0.1749 0.0000 0.2588 1
Fe1 Fe 0.0000 0.5000 0.5000 1
W1 W 0.5000 0.5000 0.0000 1
# ΔH_f (0 K) (meV/atom): -51
# Final energy (eV per atom): -7.28
# Total magnetization (μB per formula unit): 1.933
# Crystal system: monoclinic
# Calculated volume (Å³/cell): 56.8